(1)
# Pr3CdBi2

Pr3CdBi2 after structural relaxation (GGA-PBE, Alexandria via LeMat-Bulk).

Calculated values
Total magnetization   0.00 μB/cell
Crystal system   orthorhombic
Energy relative to the elements   -0.6212 eV per atom

abc: 4.620 6.506 13.911
angles: 90.00 90.00 90.00
Space group Immm (No. 71)
One atom of each set of equivalent atoms:
Pr: 0.000 0.000 0.000 (multiplicity 2)
Pr: 0.000 0.000 0.325 (multiplicity 4)
Cd: 0.000 0.500 0.000 (multiplicity 2)
Bi: 0.000 0.500 0.335 (multiplicity 4)

---

(2)
# MnHg2Rh

MnHg2Rh after structural relaxation (GGA-PBE, Alexandria via LeMat-Bulk).

Calculated values
Distance to the lowest polymorph of the same formula   0.088 eV/atom
Total magnetization   8.47 μB/cell
Crystal system   monoclinic
Energy relative to the elements   0.1769 eV per atom

abc: 10.040 3.129 4.820
angles: 90.00 108.01 90.00
Space group Cm (No. 8)
One atom of each set of equivalent atoms:
Mn: 0.000 0.000 0.000 (multiplicity 2)
Hg: 0.035 0.500 0.533 (multiplicity 2)
Hg: 0.258 0.500 0.222 (multiplicity 2)
Rh: 0.293 0.000 0.751 (multiplicity 2)

---

(3)
# CsTeS4

CsTeS4 after structural relaxation (GGA-PBE, Alexandria via LeMat-Bulk).

Calculated values
Distance to the lowest polymorph of the same formula   0.000 eV/atom
Formation energy without anion corrections   -143 kJ/mol of formula units
Total magnetization   0.00 μB/cell
Crystal system   monoclinic

abc: 8.157 27.272 5.006
angles: 90.00 111.76 90.00
Space group C2/c (No. 15)
One atom of each set of equivalent atoms:
Cs: 0.000 0.143 0.250 (multiplicity 4)
Te: 0.000 0.356 0.750 (multiplicity 4)
S: 0.083 0.254 0.956 (multiplicity 8)
S: 0.095 0.419 0.159 (multiplicity 8)

---

(4)
# La2GaTeIr

La2GaTeIr after structural relaxation (GGA-PBE, Alexandria via LeMat-Bulk).

Calculated values
Formation energy without anion corrections   -446 kJ/mol of formula units
Total magnetization   0.00 μB/cell
Crystal system   tetragonal

abc: 5.611 5.611 4.769
angles: 90.00 90.00 90.00
Space group P4/mmm (No. 123)
One atom of each set of equivalent atoms:
La: 0.000 0.500 0.000 (multiplicity 2)
Ga: 0.000 0.000 0.500 (multiplicity 1)
Te: 0.500 0.500 0.500 (multiplicity 1)
Ir: 0.000 0.000 0.000 (multiplicity 1)

---

Repeat the second record exactly.
# MnHg2Rh

MnHg2Rh after structural relaxation (GGA-PBE, Alexandria via LeMat-Bulk).

Calculated values
Distance to the lowest polymorph of the same formula   0.088 eV/atom
Total magnetization   8.47 μB/cell
Crystal system   monoclinic
Energy relative to the elements   0.1769 eV per atom

abc: 10.040 3.129 4.820
angles: 90.00 108.01 90.00
Space group Cm (No. 8)
One atom of each set of equivalent atoms:
Mn: 0.000 0.000 0.000 (multiplicity 2)
Hg: 0.035 0.500 0.533 (multiplicity 2)
Hg: 0.258 0.500 0.222 (multiplicity 2)
Rh: 0.293 0.000 0.751 (multiplicity 2)

---

Please write out number 2 again, unchanged.
# MnHg2Rh

MnHg2Rh after structural relaxation (GGA-PBE, Alexandria via LeMat-Bulk).

Calculated values
Distance to the lowest polymorph of the same formula   0.088 eV/atom
Total magnetization   8.47 μB/cell
Crystal system   monoclinic
Energy relative to the elements   0.1769 eV per atom

abc: 10.040 3.129 4.820
angles: 90.00 108.01 90.00
Space group Cm (No. 8)
One atom of each set of equivalent atoms:
Mn: 0.000 0.000 0.000 (multiplicity 2)
Hg: 0.035 0.500 0.533 (multiplicity 2)
Hg: 0.258 0.500 0.222 (multiplicity 2)
Rh: 0.293 0.000 0.751 (multiplicity 2)

---

Q: total magnetization of number 4 (La2GaTeIr)?
A: 0.00 μB/cell